1.
! NbRh2Pb | Alexandria | PBE | relaxed; values from VASP
! ΔE_f in meV/atom: -197
! DOS(E_F) in states/eV/atom: 0.530
&SYSTEM
  ibrav = 0, nat = 4, ntyp = 3
/
ATOMIC_SPECIES
Nb 92.91 Nb.upf
Rh 102.91 Rh.upf
Pb 207.20 Pb.upf
ATOMIC_POSITIONS angstrom
Nb 0.0000 0.0000 0.0000
Rh 1.6247 1.6247 1.4188
Rh 1.6247 1.6247 5.5955
Pb 0.0000 0.0000 3.5071
CELL_PARAMETERS angstrom
3.2495 0.0000 0.0000
0.0000 3.2495 0.0000
0.0000 0.0000 7.0143

=====

2.
! NbRh2Pb | Alexandria | PBE | relaxed; values from VASP
! ΔE_f in meV/atom: 163
! DOS(E_F) in states/eV/atom: 0.806
&SYSTEM
  ibrav = 0, nat = 8, ntyp = 3
/
ATOMIC_SPECIES
Nb 92.91 Nb.upf
Rh 102.91 Rh.upf
Pb 207.20 Pb.upf
ATOMIC_POSITIONS angstrom
Nb 0.0000 0.0000 0.0000
Nb 0.0000 3.6544 1.4592
Rh 5.4817 1.5563 -0.7296
Rh 1.5563 1.8272 0.7296
Rh -1.8272 2.0981 2.1888
Rh 2.0981 1.8272 3.6479
Pb 3.6544 0.0000 1.4592
Pb 0.0000 0.0000 2.9183
CELL_PARAMETERS angstrom
-3.6544 3.6544 2.9183
3.6544 -3.6544 2.9183
3.6544 3.6544 -2.9183

=====

3.
! Nb2SiRhPb | Alexandria | PBE | relaxed; values from VASP
! Uncorrected formation energy in meV per atom: 339.3
! DOS(E_F) in states/eV/atom: 1.159
&SYSTEM
  ibrav = 0, nat = 5, ntyp = 4
/
ATOMIC_SPECIES
Nb 92.91 Nb.upf
Si 28.09 Si.upf
Rh 102.91 Rh.upf
Pb 207.20 Pb.upf
ATOMIC_POSITIONS angstrom
Nb 0.0000 2.3706 0.0000
Nb 2.3706 0.0000 0.0000
Si 0.0000 0.0000 0.0000
Rh 0.0000 0.0000 2.2267
Pb 2.3706 2.3706 2.2267
CELL_PARAMETERS angstrom
4.7412 0.0000 0.0000
0.0000 4.7412 0.0000
0.0000 0.0000 4.4535

=====

4.
! NbTeRh2Pb | Alexandria | PBE | relaxed; values from VASP
! Uncorrected formation energy in meV per atom: 1298.2
! DOS(E_F) in states/eV/atom: 2.650
&SYSTEM
  ibrav = 0, nat = 5, ntyp = 4
/
ATOMIC_SPECIES
Nb 92.91 Nb.upf
Te 127.60 Te.upf
Rh 102.91 Rh.upf
Pb 207.20 Pb.upf
ATOMIC_POSITIONS angstrom
Nb 0.0000 0.0000 0.0000
Te 2.3751 2.3751 2.8675
Rh 0.0000 2.3751 2.8675
Rh 2.3751 0.0000 2.8675
Pb 2.3751 2.3751 0.0000
CELL_PARAMETERS angstrom
4.7501 0.0000 0.0000
0.0000 4.7501 0.0000
0.0000 0.0000 5.7351

=====

5.
! Nb2TlRhPb | Alexandria | PBE | relaxed; values from VASP
! ΔE_f in meV/atom: 2177
! DOS(E_F) in states/eV/atom: 1.841
&SYSTEM
  ibrav = 0, nat = 5, ntyp = 4
/
ATOMIC_SPECIES
Nb 92.91 Nb.upf
Tl 204.38 Tl.upf
Rh 102.91 Rh.upf
Pb 207.20 Pb.upf
ATOMIC_POSITIONS angstrom
Nb 0.0000 2.5926 0.0000
Nb 2.5926 0.0000 0.0000
Tl 0.0000 0.0000 0.0000
Rh 2.5926 2.5926 2.7457
Pb 0.0000 0.0000 2.7457
CELL_PARAMETERS angstrom
5.1852 0.0000 0.0000
0.0000 5.1852 0.0000
0.0000 0.0000 5.4914

=====

6.
! YNbRh2Pb | Alexandria | PBE | relaxed; values from VASP
! ΔE_f in meV/atom: 1381
! DOS(E_F) in states/eV/atom: 1.023
&SYSTEM
  ibrav = 0, nat = 5, ntyp = 4
/
ATOMIC_SPECIES
Y 88.91 Y.upf
Nb 92.91 Nb.upf
Rh 102.91 Rh.upf
Pb 207.20 Pb.upf
ATOMIC_POSITIONS angstrom
Y 0.0000 0.0000 0.0000
Nb 2.3886 2.3886 2.8270
Rh 0.0000 2.3886 0.0000
Rh 2.3886 0.0000 0.0000
Pb 0.0000 0.0000 2.8270
CELL_PARAMETERS angstrom
4.7771 0.0000 0.0000
0.0000 4.7771 0.0000
0.0000 0.0000 5.6539

=====

7.
! Nb3RuPb | Alexandria | PBE | relaxed; values from VASP
! ΔE_f in meV/atom: 817
! Relative energy among the computed polymorphs in eV per atom: 0.000
! DOS(E_F) in states/eV/atom: 1.422
&SYSTEM
  ibrav = 0, nat = 5, ntyp = 3
/
ATOMIC_SPECIES
Nb 92.91 Nb.upf
Ru 101.07 Ru.upf
Pb 207.20 Pb.upf
ATOMIC_POSITIONS angstrom
Nb 0.0000 0.0000 2.4249
Nb 0.0000 2.4249 0.0000
Nb 2.4249 0.0000 0.0000
Ru 0.0000 0.0000 0.0000
Pb 2.4249 2.4249 2.4249
CELL_PARAMETERS angstrom
4.8498 0.0000 0.0000
0.0000 4.8498 0.0000
0.0000 0.0000 4.8498

=====

8.
! NbRuPb2 | Alexandria | PBE | relaxed; values from VASP
! ΔE_f in meV/atom: 559
! Relative energy among the computed polymorphs in eV per atom: 0.000
! DOS(E_F) in states/eV/atom: 0.820
&SYSTEM
  ibrav = 0, nat = 4, ntyp = 3
/
ATOMIC_SPECIES
Nb 92.91 Nb.upf
Ru 101.07 Ru.upf
Pb 207.20 Pb.upf
ATOMIC_POSITIONS angstrom
Nb 0.0000 0.0000 0.0000
Ru 3.4379 3.4379 3.4379
Pb 1.7189 1.7189 1.7189
Pb 5.1568 5.1568 5.1568
CELL_PARAMETERS angstrom
0.0000 3.4379 3.4379
3.4379 0.0000 3.4379
3.4379 3.4379 0.0000

=====

Please write out number 3 again, unchanged.
! Nb2SiRhPb | Alexandria | PBE | relaxed; values from VASP
! Uncorrected formation energy in meV per atom: 339.3
! DOS(E_F) in states/eV/atom: 1.159
&SYSTEM
  ibrav = 0, nat = 5, ntyp = 4
/
ATOMIC_SPECIES
Nb 92.91 Nb.upf
Si 28.09 Si.upf
Rh 102.91 Rh.upf
Pb 207.20 Pb.upf
ATOMIC_POSITIONS angstrom
Nb 0.0000 2.3706 0.0000
Nb 2.3706 0.0000 0.0000
Si 0.0000 0.0000 0.0000
Rh 0.0000 0.0000 2.2267
Pb 2.3706 2.3706 2.2267
CELL_PARAMETERS angstrom
4.7412 0.0000 0.0000
0.0000 4.7412 0.0000
0.0000 0.0000 4.4535

=====

Question: What is the DOS(E_F) in the second record?
Answer: 0.806 states/eV/atom

=====

Question: Look up the DOS(E_F) of the fourth one.
Answer: 2.650 states/eV/atom

=====

Please write out number 1 again, unchanged.
! NbRh2Pb | Alexandria | PBE | relaxed; values from VASP
! ΔE_f in meV/atom: -197
! DOS(E_F) in states/eV/atom: 0.530
&SYSTEM
  ibrav = 0, nat = 4, ntyp = 3
/
ATOMIC_SPECIES
Nb 92.91 Nb.upf
Rh 102.91 Rh.upf
Pb 207.20 Pb.upf
ATOMIC_POSITIONS angstrom
Nb 0.0000 0.0000 0.0000
Rh 1.6247 1.6247 1.4188
Rh 1.6247 1.6247 5.5955
Pb 0.0000 0.0000 3.5071
CELL_PARAMETERS angstrom
3.2495 0.0000 0.0000
0.0000 3.2495 0.0000
0.0000 0.0000 7.0143